! PBE Yb4Zr3O12, optimized geometry; values from VASP
&SYSTEM
  ibrav = 0, nat = 38, ntyp = 3
/
ATOMIC_SPECIES
Yb 173.04 Yb.upf
O 16.00 O.upf
Zr 91.22 Zr.upf
CELL_PARAMETERS angstrom
-3.354 3.305 -4.353
2.964 -4.234 -3.940
-9.361 -7.536 4.431
ATOMIC_POSITIONS crystal
Yb 0.391 0.867 0.098
O 0.185 0.597 0.473
O 0.928 0.697 0.793
Zr 0.856 0.676 0.947
O 0.927 0.682 0.278
Zr 0.009 0.010 0.753
O 0.176 0.578 0.968
O 0.590 0.819 0.960
O 0.974 0.109 0.912
O 0.687 0.032 0.703
O 0.824 0.422 0.032
Zr 0.991 0.990 0.247
O 0.438 0.169 0.538
O 0.324 0.941 0.778
Yb 0.690 0.393 0.182
Yb 0.142 0.302 0.550
Yb 0.609 0.133 0.902
O 0.676 0.059 0.222
O 0.410 0.181 0.040
O 0.073 0.318 0.722
O 0.430 0.582 0.656
Yb 0.707 0.393 0.681
O 0.815 0.403 0.527
O 0.076 0.927 0.593
Zr 0.609 0.138 0.401
O 0.026 0.891 0.088
O 0.595 0.433 0.841
O 0.924 0.073 0.407
O 0.313 0.968 0.297
Zr 0.144 0.324 0.053
Zr 0.391 0.862 0.599
O 0.562 0.831 0.462
Yb 0.310 0.607 0.818
Yb 0.293 0.607 0.319
O 0.405 0.567 0.159
O 0.570 0.418 0.344
O 0.072 0.303 0.207
Yb 0.858 0.698 0.450
! E_tot   -7.85 eV/atom
! Uncorrected formation energy   -3.05 eV/atom